# 1
A plane-wave DFT calculation with PBE was carried out for a relaxed structure of K3RbPd.

Lattice parameters (Å, degrees): 6.529 6.529 6.529 90.00 90.00 90.00
Fractional coordinates of all 5 atoms:
K1 0.000 0.500 0.000
K2 0.000 0.000 0.500
K3 0.500 0.000 0.000
Rb1 0.500 0.500 0.500
Pd1 0.000 0.000 0.000

energy relative to the lowest polymorph listed for this composition = 0.22 eV per formula unit
energy of formation = 0.068 eV per atom
DOS at the Fermi energy = 1.09 states/eV/f.u.
uncorrected energy = -1.823 eV per atom

# 2
A plane-wave DFT calculation with PBE was carried out for a relaxed structure of PaZnPd2.

Lattice parameters (Å, degrees): 3.267 4.778 4.778 90.00 90.00 90.00
Each line ends with the local moment (μB).
Fractional coordinates of all 4 atoms:
Pd1 0.000 0.500 0.000  0.00
Pd2 0.000 0.000 0.500  0.00
Pa1 0.500 0.500 0.500  0.52
Zn1 0.500 0.000 0.000  0.00

energy of formation = -0.337 eV per atom
DOS at the Fermi energy = 5.30 states/eV/f.u.
uncorrected energy = -5.625 eV per atom

# 3
A plane-wave DFT calculation with PBE was carried out for a relaxed structure of BaVPS2.

Lattice parameters (Å, degrees): 5.594 5.594 5.519 90.00 90.00 90.00
Each line ends with the local moment (μB).
Fractional coordinates of all 5 atoms:
P1 0.000 0.000 0.500  0.01
S1 0.000 0.500 0.000  0.06
S2 0.500 0.000 0.000  0.06
Ba1 0.000 0.000 0.000  0.00
V1 0.500 0.500 0.500  -0.09

energy relative to the lowest polymorph listed for this composition = 11.70 eV per formula unit
formation energy (no corrections) = 1.41 eV per atom
DOS at the Fermi energy = 11.45 states/eV/f.u.
uncorrected energy = -3.532 eV per atom

# 4
A plane-wave DFT calculation with PBE was carried out for a relaxed structure of KTaCl3.

Lattice parameters (Å, degrees): 5.438 5.438 5.438 90.00 90.00 90.00
Each line ends with the local moment (μB).
Fractional coordinates of all 5 atoms:
K1 0.000 0.000 0.000  0.00
Cl1 0.000 0.500 0.000  -0.07
Cl2 0.000 0.000 0.500  -0.06
Cl3 0.500 0.000 0.000  -0.05
Ta1 0.500 0.500 0.500  2.22

energy relative to the lowest polymorph listed for this composition = 7.02 eV per formula unit
formation energy (no corrections) = 0.52 eV per atom
DOS at the Fermi energy = 8.73 states/eV/f.u.
uncorrected energy = -3.177 eV per atom

# 5
A plane-wave DFT calculation with PBE was carried out for a relaxed structure of PaNb2Os.

Lattice parameters (Å, degrees): 4.695 4.695 4.695 60.00 60.00 60.00
Fractional coordinates of all 4 atoms:
Nb1 0.250 0.250 0.250
Nb2 0.750 0.750 0.750
Os1 0.000 0.000 0.000
Pa1 0.500 0.500 0.500

energy relative to the lowest polymorph listed for this composition = 0.00 eV per formula unit
energy of formation = -0.065 eV per atom
DOS at the Fermi energy = 0.89 states/eV/f.u.
uncorrected energy = -10.281 eV per atom

# 6
A plane-wave DFT calculation with PBE was carried out for a relaxed structure of MoPbSe2.

Lattice parameters (Å, degrees): 6.470 6.470 6.470 143.24 143.24 52.97
Each line ends with the local moment (μB).
Fractional coordinates of all 4 atoms:
Mo1 0.500 0.500 0.000  3.10
Pb1 0.750 0.250 0.500  0.02
Se1 0.250 0.750 0.500  0.00
Se2 0.000 0.000 0.000  0.00

formation energy (no corrections) = 0.48 eV per atom
DOS at the Fermi energy = 3.28 states/eV/f.u.
uncorrected energy = -4.896 eV per atom

# 7
A plane-wave DFT calculation with PBE was carried out for a relaxed structure of La6ErPb.

Lattice parameters (Å, degrees): 5.114 5.114 10.432 90.00 90.00 90.00
Fractional coordinates of all 8 atoms:
La1 0.500 0.000 0.754
La2 0.500 0.500 0.000
La3 0.000 0.500 0.754
La4 0.500 0.500 0.500
La5 0.000 0.500 0.246
La6 0.500 0.000 0.246
Pb1 0.000 0.000 0.000
Er1 0.000 0.000 0.500

energy of formation = -0.166 eV per atom
DOS at the Fermi energy = 9.70 states/eV/f.u.
uncorrected energy = -4.895 eV per atom

# 8
A plane-wave DFT calculation with PBE was carried out for a relaxed structure of ZrBe2Mo2.

Lattice parameters (Å, degrees): 4.316 4.316 5.073 64.82 64.82 90.00
Fractional coordinates of all 5 atoms:
Zr1 0.000 0.000 0.000
Mo1 0.653 0.653 0.694
Mo2 0.347 0.347 0.306
Be1 0.250 0.750 0.500
Be2 0.750 0.250 0.500

energy relative to the lowest polymorph listed for this composition = 1.89 eV per formula unit
energy of formation = 0.260 eV per atom
DOS at the Fermi energy = 3.49 states/eV/f.u.
uncorrected energy = -7.273 eV per atom

# 9
A plane-wave DFT calculation with PBE was carried out for a relaxed structure of LiLa4Pr.

Lattice parameters (Å, degrees): 3.734 3.734 14.586 90.00 90.00 90.00
Fractional coordinates of all 6 atoms:
Pr1 0.000 0.000 0.000
La1 0.000 0.000 0.649
La2 0.000 0.000 0.351
La3 0.500 0.500 0.819
La4 0.500 0.500 0.181
Li1 0.500 0.500 0.500

energy of formation = 0.035 eV per atom
DOS at the Fermi energy = 8.90 states/eV/f.u.
uncorrected energy = -4.366 eV per atom

# 10
A plane-wave DFT calculation with PBE was carried out for a relaxed structure of SmY6Er3.

Lattice parameters (Å, degrees): 6.392 11.517 11.517 130.47 90.00 90.00
Fractional coordinates of all 20 atoms:
Y1 0.828 0.895 0.458
Y2 0.572 0.621 0.739
Y3 0.572 0.261 0.379
Y4 0.287 0.699 0.301
Y5 0.828 0.542 0.105
Y6 0.072 0.379 0.261
Y7 0.072 0.739 0.621
Y8 0.328 0.105 0.542
Y9 0.328 0.458 0.895
Y10 0.787 0.301 0.699
Y11 0.815 0.015 0.985
Y12 0.315 0.985 0.015
Er1 0.987 0.704 0.957
Er2 0.596 0.582 0.418
Er3 0.096 0.418 0.582
Er4 0.487 0.296 0.043
Er5 0.487 0.957 0.704
Er6 0.987 0.043 0.296
Sm1 0.013 0.162 0.838
Sm2 0.513 0.838 0.162

energy relative to the lowest polymorph listed for this composition = 0.00 eV per formula unit
energy of formation = 0.117 eV per atom
DOS at the Fermi energy = 15.17 states/eV/f.u.
uncorrected energy = -5.602 eV per atom

# 11
A plane-wave DFT calculation with PBE was carried out for a relaxed structure of HfTl.

Lattice parameters (Å, degrees): 9.087 9.087 9.087 90.00 90.00 90.00
Each line ends with the local moment (μB).
Fractional coordinates of all 16 atoms:
Hf1 0.113 0.887 0.887  0.38
Hf2 0.887 0.887 0.113  0.38
Hf3 0.113 0.113 0.113  0.38
Hf4 0.887 0.113 0.887  0.38
Hf5 0.613 0.613 0.613  0.38
Hf6 0.387 0.387 0.613  0.38
Hf7 0.387 0.613 0.387  0.38
Hf8 0.613 0.387 0.387  0.38
Tl1 0.699 0.699 0.301  0.00
Tl2 0.199 0.199 0.801  0.00
Tl3 0.801 0.199 0.199  0.00
Tl4 0.199 0.801 0.199  0.00
Tl5 0.801 0.801 0.801  0.00
Tl6 0.301 0.699 0.699  0.00
Tl7 0.301 0.301 0.301  0.00
Tl8 0.699 0.301 0.699  0.00

energy of formation = 0.986 eV per atom
DOS at the Fermi energy = 2.62 states/eV/f.u.
uncorrected energy = -5.174 eV per atom

# 12
A plane-wave DFT calculation with PBE was carried out for a relaxed structure of Al3Ru.

Lattice parameters (Å, degrees): 2.914 2.914 8.451 90.00 90.00 120.00
Fractional coordinates of all 4 atoms:
Al1 0.000 0.000 0.974
Al2 0.000 0.000 0.526
Al3 0.667 0.333 0.250
Ru1 0.667 0.333 0.750

energy of formation = -0.211 eV per atom
DOS at the Fermi energy = 2.87 states/eV/f.u.
uncorrected energy = -5.337 eV per atom